An optimized crystal structure of AlIn2Pd8, computed with GGA-PBE.

Unit cell a=7.6965 b=7.6965 c=7.6965 alpha=145.69 beta=134.26 gamma=58.40
Element x y z (fractional)
Al 0.0000 0.0000 0.0000
In 0.3153 0.3153 0.0000
In 0.6847 0.6847 0.0000
Pd 0.1211 0.8600 0.2611
Pd 0.1743 0.6743 0.5000
Pd 0.2549 0.5000 0.7549
Pd 0.4011 0.1400 0.2611
Pd 0.5989 0.8600 0.7389
Pd 0.7451 0.5000 0.2451
Pd 0.8257 0.3257 0.5000
Pd 0.8789 0.1400 0.7389

Values from the calculation:
energy relative to the elements	-0.48	eV/atom
M_tot	0.00	Bohr magnetons per cell
total energy	-5.09	eV/atom



An optimized crystal structure of ErZnGa2Au2, computed with GGA-PBE.

Unit cell a=4.4871 b=4.4871 c=6.4768 alpha=90.00 beta=90.00 gamma=120.00
Element x y z (fractional)
Er 0.0000 0.0000 0.0000
Zn 0.0000 0.0000 0.5000
Ga 0.3333 0.6667 0.7357
Ga 0.6667 0.3333 0.2643
Au 0.3333 0.6667 0.2754
Au 0.6667 0.3333 0.7246

Values from the calculation:
energy relative to the elements	-0.47	eV/atom
M_tot	0.00	Bohr magnetons per cell
total energy	-3.54	eV/atom



An optimized crystal structure of CuMo2Os, computed with GGA-PBE.

Unit cell a=4.7526 b=4.7526 c=2.7610 alpha=90.00 beta=90.00 gamma=110.53
Element x y z (fractional)
Cu 0.0000 0.0000 0.0000
Mo 0.0000 0.5000 0.5000
Mo 0.5000 0.0000 0.5000
Os 0.5000 0.5000 0.0000

Values from the calculation:
energy relative to the lowest polymorph listed for this composition	30	meV/atom
energy relative to the elements	0.16	eV/atom
M_tot	0.00	Bohr magnetons per cell
total energy	-9.09	eV/atom



An optimized crystal structure of BaHgBi2Au, computed with GGA-PBE.

Unit cell a=5.2152 b=5.2152 c=7.1232 alpha=90.00 beta=90.00 gamma=90.00
Element x y z (fractional)
Ba 0.0000 0.0000 0.0000
Hg 0.5000 0.5000 0.1032
Bi 0.0000 0.5000 0.4028
Bi 0.5000 0.0000 0.4028
Au 0.0000 0.0000 0.5557

Values from the calculation:
energy relative to the elements	-0.22	eV/atom
M_tot	0.00	Bohr magnetons per cell
total energy	-2.87	eV/atom



An optimized crystal structure of Ca4TlZn2Cd, computed with GGA-PBE.

Unit cell a=9.2832 b=9.2832 c=9.2832 alpha=33.39 beta=33.39 gamma=33.39
Element x y z (fractional)
Ca 0.1249 0.1249 0.1249
Ca 0.3751 0.3751 0.3751
Ca 0.6249 0.6249 0.6249
Ca 0.8751 0.8751 0.8751
Tl 0.0000 0.0000 0.0000
Zn 0.2489 0.2489 0.2489
Zn 0.7511 0.7511 0.7511
Cd 0.5000 0.5000 0.5000

Values from the calculation:
energy relative to the elements	-0.32	eV/atom
M_tot	0.00	Bohr magnetons per cell
total energy	-2.05	eV/atom



An optimized crystal structure of Zn2CuP, computed with GGA-PBE.

Unit cell a=2.8928 b=4.2171 c=5.1024 alpha=90.00 beta=106.45 gamma=90.00
Element x y z (fractional)
Zn 0.0000 0.0000 0.0000
Zn 0.1529 0.5000 0.3075
Cu 0.4330 0.5000 0.8643
P 0.2851 0.0000 0.5714

Values from the calculation:
energy relative to the elements	0.10	eV/atom
M_tot	0.00	Bohr magnetons per cell
total energy	-2.92	eV/atom



An optimized crystal structure of RbAgTeI2, computed with GGA-PBE.

Unit cell a=6.8043 b=6.8043 c=6.6552 alpha=90.00 beta=90.00 gamma=90.00
Element x y z (fractional)
Rb 0.0000 0.0000 0.0000
Ag 0.5000 0.5000 0.5000
Te 0.0000 0.0000 0.5000
I 0.0000 0.5000 0.0000
I 0.5000 0.0000 0.0000

Values from the calculation:
energy relative to the lowest polymorph listed for this composition	821	meV/atom
M_tot	2.04	Bohr magnetons per cell
ΔE_f (raw)	0.414	eV/atom
total energy	-1.60	eV/atom



An optimized crystal structure of Na5B7C3, computed with GGA-PBE.

Unit cell a=2.8928 b=2.8928 c=42.7485 alpha=90.00 beta=90.00 gamma=120.00
Element x y z (fractional)
Na 0.0000 0.0000 0.0000
Na 0.0000 0.0000 0.0982
Na 0.0000 0.0000 0.1969
Na 0.0000 0.0000 0.2985
Na 0.0000 0.0000 0.3978
Na 0.0000 0.0000 0.5000
Na 0.0000 0.0000 0.6022
Na 0.0000 0.0000 0.7015
Na 0.0000 0.0000 0.8031
Na 0.0000 0.0000 0.9018
B 0.3333 0.6667 0.1472
B 0.3333 0.6667 0.2477
B 0.3333 0.6667 0.3482
B 0.3333 0.6667 0.4487
B 0.3333 0.6667 0.5513
B 0.3333 0.6667 0.7523
B 0.3333 0.6667 0.9509
B 0.6667 0.3333 0.0491
B 0.6667 0.3333 0.2477
B 0.6667 0.3333 0.4487
B 0.6667 0.3333 0.5513
B 0.6667 0.3333 0.6518
B 0.6667 0.3333 0.7523
B 0.6667 0.3333 0.8528
C 0.3333 0.6667 0.0491
C 0.3333 0.6667 0.6517
C 0.3333 0.6667 0.8528
C 0.6667 0.3333 0.1472
C 0.6667 0.3333 0.3483
C 0.6667 0.3333 0.9509

Values from the calculation:
energy relative to the lowest polymorph listed for this composition	43	meV/atom
energy relative to the elements	0.16	eV/atom
M_tot	0.00	Bohr magnetons per cell
total energy	-5.24	eV/atom